## LaSiAu (PBE)

Data for crystalline LaSiAu at its relaxed geometry.

Symmetry ... Cm
Formation energy (no corrections) ... -0.652 eV/atom

a = 10.5753 Å, b = 4.4838 Å, c = 6.4226 Å
α = 90.00°, β = 96.20°, γ = 90.00°
With the nearest neighbours (Å) after each atom.
Element x y z (fractional)
La (0.0000, 0.0000, 0.0000)  5 Si 3.02-3.30, 2 Au 3.12-3.30
La (0.2025, 0.5000, 0.5514)  5 Si 3.08-3.28, 5 Au 3.09-3.27
La (0.5000, 0.5000, 0.0000)  5 Si 3.02-3.30, 2 Au 3.12-3.30
La (0.7025, 0.0000, 0.5514)  5 Si 3.08-3.28, 5 Au 3.09-3.27
Si (0.2725, 0.0000, 0.8977)  1 Si 2.34, 1 Au 2.44
Si (0.4258, 0.0000, 0.6612)  1 Si 2.34, 1 Au 2.56
Si (0.7725, 0.5000, 0.8977)  1 Si 2.34, 1 Au 2.44
Si (0.9258, 0.5000, 0.6612)  1 Si 2.34, 1 Au 2.56
Au (0.0006, 0.0000, 0.4861)  2 Si 2.67
Au (0.3362, 0.0000, 0.2751)  2 Si 2.44-2.56
Au (0.5006, 0.5000, 0.4861)  2 Si 2.67
Au (0.8362, 0.5000, 0.2751)  2 Si 2.44-2.56

## LaW2Cl (PBE)

Data for crystalline LaW2Cl at its relaxed geometry.

Symmetry ... R3m
Formation energy (no corrections) ... 0.228 eV/atom
Relative energy among the computed polymorphs ... 265.3 meV per atom

a = 3.3330 Å, b = 3.3330 Å, c = 27.9146 Å
α = 90.00°, β = 90.00°, γ = 120.00°
With the nearest neighbours (Å) after each atom.
Element x y z (fractional)
La (0.0000, 0.0000, 0.0000)  3 Cl 2.98, 6 La 3.33
La (0.3333, 0.6667, 0.6667)  3 Cl 2.98, 6 La 3.33
La (0.6667, 0.3333, 0.3333)  3 Cl 2.98, 6 La 3.33
W (0.0000, 0.0000, 0.2296)  3 W 2.51
W (0.0000, 0.0000, 0.5050)  3 W 2.51
W (0.3333, 0.6667, 0.1717)  3 W 2.51
W (0.3333, 0.6667, 0.8963)  3 W 2.51
W (0.6667, 0.3333, 0.5629)  3 W 2.51
W (0.6667, 0.3333, 0.8383)  3 W 2.51
Cl (0.0000, 0.0000, 0.7482)  3 La 2.98, 3 W 3.17, 6 Cl 3.33
Cl (0.3333, 0.6667, 0.4149)  3 La 2.98, 3 W 3.17, 6 Cl 3.33
Cl (0.6667, 0.3333, 0.0815)  3 La 2.98, 3 W 3.17, 6 Cl 3.33

## TbYHoN3 (PBE)

Data for crystalline TbYHoN3 at its relaxed geometry.

Symmetry ... P2_1/m
Formation energy (no corrections) ... -1.455 eV/atom

a = 5.9812 Å, b = 3.4231 Å, c = 9.0161 Å
α = 90.00°, β = 100.74°, γ = 90.00°
With the nearest neighbours (Å) after each atom.
Element x y z (fractional)
Tb (0.1644, 0.2500, 0.2009)  6 N 2.49-2.63
Tb (0.8356, 0.7500, 0.7991)  6 N 2.49-2.63
Y (0.2678, 0.7500, 0.5463)  6 N 2.36-2.59
Y (0.7322, 0.2500, 0.4537)  6 N 2.36-2.59
Ho (0.3422, 0.2500, 0.8638)  5 N 2.25-2.50
Ho (0.6578, 0.7500, 0.1362)  5 N 2.25-2.50
N (0.0350, 0.2500, 0.6715)  1 Ho 2.28, 1 Y 2.41, 2 Tb 2.49
N (0.2523, 0.7500, 0.0035)  3 Ho 2.25-2.50
N (0.4635, 0.7500, 0.3424)  3 Y 2.36-2.43, 1 Ho 2.37, 2 Tb 2.63
N (0.5365, 0.2500, 0.6576)  3 Y 2.36-2.43, 1 Ho 2.37, 2 Tb 2.63
N (0.7477, 0.2500, 0.9965)  3 Ho 2.25-2.50
N (0.9650, 0.7500, 0.3285)  1 Ho 2.28, 1 Y 2.41, 2 Tb 2.49

## CaLa7Sm4 (PBE)

Data for crystalline CaLa7Sm4 at its relaxed geometry.

ΔE_f ... 0.03 eV/atom
Symmetry ... P-1

a = 6.4395 Å, b = 7.4295 Å, c = 9.8295 Å
α = 78.66°, β = 71.20°, γ = 89.76°
With the nearest neighbours (Å) after each atom.
Element x y z (fractional)
Ca (0.0000, 0.0000, 0.0000)  10 La 3.71-3.78, 2 Sm 3.79
La (0.0000, 0.5000, 0.0000)  6 La 3.68-3.76, 4 Sm 3.70-3.74, 2 Ca 3.71
La (0.1694, 0.9156, 0.3403)  6 Sm 3.62-3.79, 5 La 3.65-3.82, 1 Ca 3.78
La (0.3409, 0.3391, 0.6624)  5 La 3.60-3.81, 6 Sm 3.65-3.77, 1 Ca 3.77
La (0.4992, 0.7397, 0.9990)  7 La 3.56-3.87, 3 Sm 3.69-3.70, 2 Ca 3.74-3.77
La (0.5008, 0.2603, 0.0010)  7 La 3.56-3.87, 3 Sm 3.69-3.70, 2 Ca 3.74-3.77
La (0.6591, 0.6609, 0.3376)  5 La 3.60-3.81, 6 Sm 3.65-3.77, 1 Ca 3.77
La (0.8306, 0.0844, 0.6597)  6 Sm 3.62-3.79, 5 La 3.65-3.82, 1 Ca 3.78
Sm (0.1638, 0.4155, 0.3342)  9 La 3.66-3.73, 3 Sm 3.67-3.73
Sm (0.3416, 0.8309, 0.6625)  8 La 3.62-3.79, 3 Sm 3.66-3.73, 1 Ca 3.79
Sm (0.6584, 0.1691, 0.3375)  8 La 3.62-3.79, 3 Sm 3.66-3.73, 1 Ca 3.79
Sm (0.8362, 0.5845, 0.6658)  9 La 3.66-3.73, 3 Sm 3.67-3.73

## Np2PaMnC4 (PBE)

Data for crystalline Np2PaMnC4 at its relaxed geometry.

ΔE_f ... 0.01 eV/atom
Symmetry ... Cmcm

a = 5.9754 Å, b = 5.9754 Å, c = 11.3638 Å
α = 90.00°, β = 90.00°, γ = 147.06°
With the nearest neighbours (Å) after each atom.
Element x y z (fractional)
Np (0.1343, 0.8657, 0.5521)  6 C 2.31-2.50
Np (0.1343, 0.8657, 0.9479)  6 C 2.31-2.50
Np (0.8657, 0.1343, 0.0521)  6 C 2.31-2.50
Np (0.8657, 0.1343, 0.4479)  6 C 2.31-2.50
Pa (0.3973, 0.6027, 0.7500)  6 C 2.49-2.59
Pa (0.6027, 0.3973, 0.2500)  6 C 2.49-2.59
Mn (0.3419, 0.6581, 0.2500)  4 C 1.91-2.06
Mn (0.6581, 0.3419, 0.7500)  4 C 1.91-2.06
C (0.0565, 0.9435, 0.7500)  2 Mn 2.06
C (0.2253, 0.7747, 0.1295)  1 Mn 1.91
C (0.2253, 0.7747, 0.3705)  1 Mn 1.91
C (0.5000, 0.5000, 0.0000)  4 Np 2.36
C (0.5000, 0.5000, 0.5000)  4 Np 2.36
C (0.7747, 0.2253, 0.6295)  1 Mn 1.91
C (0.7747, 0.2253, 0.8705)  1 Mn 1.91
C (0.9435, 0.0565, 0.2500)  2 Mn 2.06

## PrEr2Tl3 (PBE)

Data for crystalline PrEr2Tl3 at its relaxed geometry.

ΔE_f ... -0.35 eV/atom
Symmetry ... P4/mmm

a = 3.7790 Å, b = 3.7790 Å, c = 11.7226 Å
α = 90.00°, β = 90.00°, γ = 90.00°
With the nearest neighbours (Å) after each atom.
Element x y z (fractional)
Pr (0.0000, 0.0000, 0.0000)  8 Tl 3.41, 4 Pr 3.78
Er (0.0000, 0.0000, 0.3398)  8 Tl 3.25-3.27
Er (0.0000, 0.0000, 0.6602)  8 Tl 3.25-3.27
Tl (0.5000, 0.5000, 0.1813)  4 Er 3.25, 4 Pr 3.41
Tl (0.5000, 0.5000, 0.5000)  8 Er 3.27
Tl (0.5000, 0.5000, 0.8187)  4 Er 3.25, 4 Pr 3.41

## LuThCoNi (PBE)

Data for crystalline LuThCoNi at its relaxed geometry.

ΔE_f ... -0.29 eV/atom
Symmetry ... F-43m

a = 6.7860 Å, b = 6.7860 Å, c = 6.7860 Å
α = 90.00°, β = 90.00°, γ = 90.00°
With the nearest neighbours (Å) after each atom.
Element x y z (fractional)
Lu (0.0000, 0.0000, 0.0000)  4 Co 2.94, 4 Ni 2.94
Lu (0.0000, 0.5000, 0.5000)  4 Co 2.94, 4 Ni 2.94
Lu (0.5000, 0.0000, 0.5000)  4 Co 2.94, 4 Ni 2.94
Lu (0.5000, 0.5000, 0.0000)  4 Co 2.94, 4 Ni 2.94
Th (0.0000, 0.0000, 0.5000)  4 Co 2.94, 4 Ni 2.94
Th (0.0000, 0.5000, 0.0000)  4 Co 2.94, 4 Ni 2.94
Th (0.5000, 0.0000, 0.0000)  4 Co 2.94, 4 Ni 2.94
Th (0.5000, 0.5000, 0.5000)  4 Co 2.94, 4 Ni 2.94
Co (0.2500, 0.2500, 0.2500)  4 Th 2.94, 4 Lu 2.94
Co (0.2500, 0.7500, 0.7500)  4 Th 2.94, 4 Lu 2.94
Co (0.7500, 0.2500, 0.7500)  4 Th 2.94, 4 Lu 2.94
Co (0.7500, 0.7500, 0.2500)  4 Th 2.94, 4 Lu 2.94
Ni (0.2500, 0.2500, 0.7500)  4 Th 2.94, 4 Lu 2.94
Ni (0.2500, 0.7500, 0.2500)  4 Th 2.94, 4 Lu 2.94
Ni (0.7500, 0.2500, 0.2500)  4 Th 2.94, 4 Lu 2.94
Ni (0.7500, 0.7500, 0.7500)  4 Th 2.94, 4 Lu 2.94

## TiTeH (PBE)

Data for crystalline TiTeH at its relaxed geometry.

Symmetry ... Pmmn
E_tot ... -5.11 eV/atom

a = 3.0277 Å, b = 3.5604 Å, c = 10.2515 Å
α = 90.00°, β = 90.00°, γ = 90.00°
With the nearest neighbours (Å) after each atom.
Element x y z (fractional)
Ti (0.2500, 0.2500, 0.0939)  4 H 1.90-1.94
Ti (0.7500, 0.7500, 0.9061)  4 H 1.90-1.94
Te (0.2500, 0.7500, 0.6775)  2 Ti 2.79, 2 Te 3.03
Te (0.7500, 0.2500, 0.3225)  2 Ti 2.79, 2 Te 3.03
H (0.2500, 0.7500, 0.0179)  4 Ti 1.90-1.94
H (0.7500, 0.2500, 0.9821)  4 Ti 1.90-1.94

## AlCr2Os (PBE)

Data for crystalline AlCr2Os at its relaxed geometry.

ΔE_f ... -0.12 eV/atom
Symmetry ... F-43m

a = 5.9582 Å, b = 5.9582 Å, c = 5.9582 Å
α = 90.00°, β = 90.00°, γ = 90.00°
With the nearest neighbours (Å) after each atom.
Element x y z (fractional)
Al (0.0000, 0.0000, 0.0000)  4 Cr 2.58, 4 Os 2.58
Al (0.0000, 0.5000, 0.5000)  4 Cr 2.58, 4 Os 2.58
Al (0.5000, 0.0000, 0.5000)  4 Cr 2.58, 4 Os 2.58
Al (0.5000, 0.5000, 0.0000)  4 Cr 2.58, 4 Os 2.58
Cr (0.0000, 0.0000, 0.5000)  4 Cr 2.58, 4 Os 2.58
Cr (0.0000, 0.5000, 0.0000)  4 Cr 2.58, 4 Os 2.58
Cr (0.2500, 0.2500, 0.2500)  4 Cr 2.58, 4 Al 2.58
Cr (0.2500, 0.7500, 0.7500)  4 Cr 2.58, 4 Al 2.58
Cr (0.5000, 0.0000, 0.0000)  4 Cr 2.58, 4 Os 2.58
Cr (0.5000, 0.5000, 0.5000)  4 Cr 2.58, 4 Os 2.58
Cr (0.7500, 0.2500, 0.7500)  4 Cr 2.58, 4 Al 2.58
Cr (0.7500, 0.7500, 0.2500)  4 Cr 2.58, 4 Al 2.58
Os (0.2500, 0.2500, 0.7500)  4 Al 2.58, 4 Cr 2.58
Os (0.2500, 0.7500, 0.2500)  4 Al 2.58, 4 Cr 2.58
Os (0.7500, 0.2500, 0.2500)  4 Al 2.58, 4 Cr 2.58
Os (0.7500, 0.7500, 0.7500)  4 Cr 2.58, 4 Al 2.58

## Pu4Ga3Au (PBE)

Data for crystalline Pu4Ga3Au at its relaxed geometry.

ΔE_f ... -0.30 eV/atom
Symmetry ... Pmmm

a = 4.3701 Å, b = 4.4501 Å, c = 8.9595 Å
α = 90.00°, β = 90.00°, γ = 90.00°
With the nearest neighbours (Å) after each atom.
Element x y z (fractional)
Pu (0.0000, 0.0000, 0.0000)  8 Ga 3.08-3.12, 4 Pu 3.14
Pu (0.0000, 0.0000, 0.5000)  4 Au 3.12, 4 Pu 3.17, 4 Ga 3.18
Pu (0.0000, 0.5000, 0.2474)  6 Ga 3.11-3.12, 4 Pu 3.14-3.17, 2 Au 3.15
Pu (0.0000, 0.5000, 0.7526)  6 Ga 3.11-3.12, 4 Pu 3.14-3.17, 2 Au 3.15
Ga (0.5000, 0.0000, 0.2425)  8 Pu 3.08-3.18, 2 Ga 3.11, 2 Au 3.21
Ga (0.5000, 0.0000, 0.7575)  8 Pu 3.08-3.18, 2 Ga 3.11, 2 Au 3.21
Ga (0.5000, 0.5000, 0.0000)  4 Ga 3.11, 8 Pu 3.11-3.12
Au (0.5000, 0.5000, 0.5000)  8 Pu 3.12-3.15, 4 Ga 3.21

## Er2P4Rh3 (PBE)

Data for crystalline Er2P4Rh3 at its relaxed geometry.

ΔE_f ... -0.99 eV/atom
Symmetry ... Cmce

a = 7.6775 Å, b = 7.6775 Å, c = 7.1570 Å
α = 90.00°, β = 90.00°, γ = 137.64°
With the nearest neighbours (Å) after each atom.
Element x y z (fractional)
Er (0.1105, 0.8895, 0.9168)  8 P 2.88-3.05, 4 Rh 3.06-3.16
Er (0.3895, 0.6105, 0.4168)  8 P 2.88-3.05, 4 Rh 3.06-3.16
Er (0.6105, 0.3895, 0.5832)  8 P 2.88-3.05, 4 Rh 3.06-3.16
Er (0.8895, 0.1105, 0.0832)  8 P 2.88-3.05, 4 Rh 3.06-3.16
P (0.1851, 0.8149, 0.5382)  5 Rh 2.48-2.66
P (0.1979, 0.3021, 0.7500)  3 Rh 2.38
P (0.3021, 0.1979, 0.2500)  3 Rh 2.38
P (0.3149, 0.6851, 0.0382)  5 Rh 2.48-2.66
P (0.6851, 0.3149, 0.9618)  5 Rh 2.48-2.66
P (0.6979, 0.8021, 0.7500)  3 Rh 2.38
P (0.8021, 0.6979, 0.2500)  3 Rh 2.38
P (0.8149, 0.1851, 0.4618)  5 Rh 2.48-2.66
Rh (0.0000, 0.0000, 0.5000)  6 P 2.38-2.66
Rh (0.0316, 0.4684, 0.7500)  5 P 2.38-2.53
Rh (0.4684, 0.0316, 0.2500)  5 P 2.38-2.53
Rh (0.5000, 0.5000, 0.0000)  6 P 2.38-2.66
Rh (0.5316, 0.9684, 0.7500)  5 P 2.38-2.53
Rh (0.9684, 0.5316, 0.2500)  5 P 2.38-2.53

Number 1: size of the total moment 0.00 μB per cell. Number 2: size of the total moment 0.01 μB per cell. Number 3: size of the total moment 0.00 μB per cell. Number 4: size of the total moment 0.00 μB per cell. Number 5: size of the total moment 6.95 μB per cell. Number 6: size of the total moment 0.00 μB per cell. Number 7: size of the total moment 0.06 μB per cell. Number 8: size of the total moment 0.00 μB per cell. Number 9: size of the total moment 4.00 μB per cell. Number 10: size of the total moment 11.35 μB per cell. Number 11: size of the total moment 0.00 μB per cell.